Crystalline Sb6Pb7 at its relaxed geometry, computed with GGA-PBE.

Raw formation energy   0.19 eV per atom
Total magnetic moment   0.00 μB/cell

Cell: 11.7419 11.7419 11.7419 Å, 33.37 33.37 33.37°
Fractional coordinates of all 13 atoms:
Pb1 0.9225 0.4184 0.4184
Pb2 0.4184 0.4184 0.9225
Pb3 0.4184 0.9225 0.4184
Pb4 0.0775 0.5816 0.5816
Pb5 0.5816 0.0775 0.5816
Pb6 0.5816 0.5816 0.0775
Pb7 0.5000 0.5000 0.5000
Sb1 0.9206 0.9206 0.9206
Sb2 0.0794 0.0794 0.0794
Sb3 0.8343 0.8343 0.8343
Sb4 0.1657 0.1657 0.1657
Sb5 0.6634 0.6634 0.6634
Sb6 0.3366 0.3366 0.3366